1.
Density functional theory data (GGA+U) for a geometry-optimized LaNiN2F structure.

Its total energy is -4.884 eV/atom. The value obtained for the excess energy over the best structure of this formula in the dataset is 1073 meV per atom. Its density of states at the Fermi level is 0.445 states/eV/atom.

It has space group P4/mmm (No. 123), with a = 4.387 Å, b = 4.387 Å, c = 4.642 Å, α = 90.00°, β = 90.00° and γ = 90.00°. Symmetry generates all atoms from La at (0.000, 0.000, 0.000), Ni at (0.500, 0.500, 0.500), N at (0.000, 0.500, 0.000) and F at (0.000, 0.000, 0.500).


2.
Density functional theory data (GGA+U) for a geometry-optimized LaNiN2F structure.

Its total energy is -5.957 eV/atom. The value obtained for the excess energy over the best structure of this formula in the dataset is 0 meV per atom. Its density of states at the Fermi level is 0.503 states/eV/atom.

It has space group P4/mmm (No. 123), with a = 3.872 Å, b = 3.872 Å, c = 4.063 Å, α = 90.00°, β = 90.00° and γ = 90.00°. Symmetry generates all atoms from La at (0.000, 0.000, 0.000), Ni at (0.500, 0.500, 0.500), N at (0.000, 0.500, 0.500) and F at (0.500, 0.500, 0.000).


3.
Density functional theory data (GGA+U) for a geometry-optimized LaNiNF2 structure.

Its total energy is -5.135 eV/atom. The value obtained for the excess energy over the best structure of this formula in the dataset is 565 meV per atom. Its density of states at the Fermi level is 0.050 states/eV/atom.

It has space group P4/mmm (No. 123), with a = 4.646 Å, b = 4.646 Å, c = 4.440 Å, α = 90.00°, β = 90.00° and γ = 90.00°. Symmetry generates all atoms from La at (0.000, 0.000, 0.000), Ni at (0.500, 0.500, 0.500), N at (0.000, 0.000, 0.500) and F at (0.000, 0.500, 0.000).


Q: The highest excess energy over the best structure of this formula in the dataset belongs to which entry?
A: number 1